# 1
Here is crystalline LiCd5Pd8 at its relaxed geometry from the Alexandria database. Energies are from PBE.

Output
Crystal system   tetragonal
Formation energy   -0.24 eV/atom
Calculated total energy   -3.671 eV per atom
V   245.16 Å³ per cell
Total moment   0.0 μB per formula unit

Unit cell a=6.831 b=6.831 c=6.831 alpha=110.34 beta=107.75 gamma=110.34
Fractional coordinates of all 14 atoms:
Pd (0.016, 0.102, 0.770)
Pd (0.230, 0.246, 0.332)
Pd (0.086, 0.754, 0.984)
Cd (0.446, 0.155, 0.045)
Pd (0.841, 0.249, 0.418)
Pd (0.668, 0.898, 0.914)
Cd (0.500, 0.000, 0.500)
Pd (0.582, 0.423, 0.831)
Pd (0.169, 0.751, 0.592)
Pd (0.408, 0.577, 0.159)
Cd (0.890, 0.845, 0.291)
Cd (0.955, 0.401, 0.110)
Li (0.250, 0.500, 0.750)
Cd (0.709, 0.599, 0.554)

---

# 2
Here is crystalline Li3Cd2Pd5 at its relaxed geometry from the Alexandria database. Energies are from PBE.

Output
Crystal system   orthorhombic
Formation energy   -0.22 eV/atom
Calculated total energy   -3.577 eV per atom
V   324.46 Å³ per cell
Total moment   0.0 μB per formula unit

Unit cell a=5.377 b=8.251 c=8.251 alpha=90.54 beta=70.98 gamma=70.98
Fractional coordinates of all 20 atoms:
Cd (0.864, 0.441, 0.832)
Li (0.750, 0.000, 0.000)
Pd (0.582, 0.752, 0.083)
Pd (0.918, 0.917, 0.248)
Cd (0.136, 0.559, 0.168)
Pd (0.983, 0.767, 0.767)
Pd (0.418, 0.248, 0.917)
Pd (0.517, 0.233, 0.233)
Pd (0.483, 0.767, 0.767)
Li (0.148, 0.213, 0.491)
Cd (0.636, 0.168, 0.559)
Cd (0.364, 0.832, 0.441)
Pd (0.082, 0.083, 0.752)
Pd (0.250, 0.500, 0.500)
Li (0.852, 0.787, 0.509)
Pd (0.017, 0.233, 0.233)
Pd (0.750, 0.500, 0.500)
Li (0.648, 0.491, 0.213)
Li (0.352, 0.509, 0.787)
Li (0.250, 0.000, 0.000)

---

# 3
Here is crystalline Li5Cd3Pd at its relaxed geometry from the Alexandria database. Energies are from PBE.

Output
Crystal system   monoclinic
Formation energy   -0.06 eV/atom
Calculated total energy   -2.010 eV per atom
V   360.62 Å³ per cell
Total moment   0.0 μB per formula unit

Unit cell a=5.785 b=5.785 c=11.101 alpha=82.34 beta=82.34 gamma=80.29
Fractional coordinates of all 18 atoms:
Li (0.985, 0.419, 0.323)
Li (0.534, 0.534, 0.717)
Li (0.015, 0.581, 0.677)
Cd (0.674, 0.674, 0.473)
Pd (0.058, 0.058, 0.737)
Li (0.273, 0.273, 0.864)
Cd (0.755, 0.755, 0.875)
Li (0.331, 0.669, 0.000)
Li (0.669, 0.331, 0.000)
Cd (0.000, 0.000, 0.500)
Li (0.581, 0.015, 0.677)
Li (0.466, 0.466, 0.283)
Li (0.419, 0.985, 0.323)
Cd (0.326, 0.326, 0.527)
Cd (0.000, 0.000, 0.000)
Li (0.727, 0.727, 0.136)
Cd (0.245, 0.245, 0.125)
Pd (0.942, 0.942, 0.263)

---

# 4
Here is crystalline Li5Cd2Pd2 at its relaxed geometry from the Alexandria database. Energies are from PBE.

Output
Crystal system   orthorhombic
Energy above the lowest structure with this stoichiometry   0 meV per atom
Formation energy   -0.26 eV/atom
Calculated total energy   -2.683 eV per atom
V   304.49 Å³ per cell
Total moment   0.0 μB per formula unit

Unit cell a=4.561 b=8.569 c=8.569 alpha=74.74 beta=74.57 gamma=74.57
Fractional coordinates of all 18 atoms:
Pd (0.434, 0.191, 0.087)
Cd (0.075, 0.000, 0.000)
Li (0.925, 0.342, 0.955)
Cd (0.575, 0.500, 0.500)
Li (0.617, 0.126, 0.792)
Li (0.535, 0.874, 0.208)
Cd (0.823, 0.205, 0.295)
Li (0.322, 0.073, 0.427)
Cd (0.323, 0.795, 0.705)
Pd (0.712, 0.809, 0.913)
Li (0.035, 0.708, 0.374)
Li (0.721, 0.545, 0.158)
Li (0.117, 0.292, 0.626)
Li (0.822, 0.927, 0.573)
Pd (0.212, 0.413, 0.309)
Li (0.221, 0.658, 0.045)
Li (0.425, 0.455, 0.842)
Pd (0.934, 0.587, 0.691)

---

# 5
Here is crystalline Li3Cd6Pd2 at its relaxed geometry from the Alexandria database. Energies are from PBE.

Output
Crystal system   triclinic
Formation energy   -0.32 eV/atom
Calculated total energy   -2.280 eV per atom
V   200.10 Å³ per cell
Total moment   0.0 μB per formula unit

Unit cell a=5.233 b=4.023 c=11.398 alpha=110.83 beta=94.91 gamma=112.57
Fractional coordinates of all 11 atoms:
Li (0.793, 0.257, 0.361)
Cd (0.561, 0.183, 0.901)
Li (0.207, 0.743, 0.639)
Cd (0.730, 0.908, 0.542)
Cd (0.095, 0.357, 0.810)
Pd (0.648, 0.548, 0.724)
Cd (0.270, 0.092, 0.458)
Li (0.000, 0.000, 0.000)
Pd (0.352, 0.452, 0.276)
Cd (0.439, 0.817, 0.099)
Cd (0.905, 0.643, 0.190)

---

# 6
Here is crystalline LiCd3Pd at its relaxed geometry from the Alexandria database. Energies are from PBE.

Output
Crystal system   cubic
Energy above the lowest structure with this stoichiometry   314 meV per atom
Formation energy   -0.02 eV/atom
Calculated total energy   -1.986 eV per atom
V   140.22 Å³ per cell
Total moment   0.0 μB per formula unit

Unit cell a=5.195 b=5.195 c=5.195 alpha=90.00 beta=90.00 gamma=90.00
Fractional coordinates of all 5 atoms:
Cd (0.500, 0.000, 0.000)
Cd (0.000, 0.500, 0.000)
Pd (0.000, 0.000, 0.000)
Li (0.500, 0.500, 0.500)
Cd (0.000, 0.000, 0.500)

---

# 7
Here is crystalline LiCd5Pd at its relaxed geometry from the Alexandria database. Energies are from PBE.

Output
Crystal system   monoclinic
Formation energy   -0.18 eV/atom
Calculated total energy   -1.846 eV per atom
V   294.65 Å³ per cell
Total moment   0.0 μB per formula unit

Unit cell a=5.796 b=5.796 c=14.058 alpha=53.38 beta=53.38 gamma=58.90
Fractional coordinates of all 14 atoms:
Pd (0.756, 0.244, 0.250)
Li (0.000, 0.000, 0.000)
Cd (0.302, 0.285, 0.208)
Li (0.000, 0.000, 0.500)
Cd (0.691, 0.714, 0.502)
Cd (0.249, 0.751, 0.250)
Cd (0.714, 0.691, 0.002)
Cd (0.698, 0.715, 0.792)
Cd (0.309, 0.286, 0.498)
Cd (0.286, 0.309, 0.998)
Cd (0.285, 0.302, 0.708)
Cd (0.715, 0.698, 0.292)
Cd (0.751, 0.249, 0.750)
Pd (0.244, 0.756, 0.750)

---

# 8
Here is crystalline LiCd3Pd3 at its relaxed geometry from the Alexandria database. Energies are from PBE.

Output
Crystal system   orthorhombic
Energy above the lowest structure with this stoichiometry   0 meV per atom
Formation energy   -0.36 eV/atom
Calculated total energy   -3.250 eV per atom
V   257.56 Å³ per cell
Total moment   0.0 μB per formula unit

Unit cell a=6.476 b=6.476 c=6.142 alpha=90.00 beta=90.00 gamma=88.81
Fractional coordinates of all 14 atoms:
Pd (0.000, 0.000, 0.754)
Pd (0.500, 0.000, 0.241)
Cd (0.266, 0.734, 0.500)
Cd (0.733, 0.267, 0.000)
Pd (0.000, 0.500, 0.241)
Li (0.248, 0.248, 0.000)
Pd (0.000, 0.500, 0.759)
Cd (0.267, 0.733, 0.000)
Cd (0.741, 0.741, 0.500)
Cd (0.734, 0.266, 0.500)
Li (0.752, 0.752, 0.000)
Pd (0.000, 0.000, 0.246)
Pd (0.500, 0.000, 0.759)
Cd (0.259, 0.259, 0.500)